No. 1
Computed, not measured: LaAl2Au9 after structural relaxation at the GGA-PBE level of DFT.

Summary:
V   19.34 A^3/atom
Mass density   14.07 Mg/m³
E_form   -0.3902 eV per atom
Symmetry   No. 141

a = 8.834 Å, b = 8.834 Å, c = 8.834 Å
α = 99.26°, β = 99.26°, γ = 132.70°
Atoms (fractional coordinates):
1 La 0.375 0.625 0.750
2 La 0.625 0.375 0.250
3 Al 0.000 0.000 0.000
4 Al 0.000 0.000 0.500
5 Al 0.000 0.500 0.000
6 Al 0.500 0.000 0.500
7 Au 0.116 0.553 0.320
8 Au 0.116 0.797 0.563
9 Au 0.125 0.875 0.250
10 Au 0.203 0.266 0.320
11 Au 0.203 0.884 0.937
12 Au 0.266 0.203 0.820
13 Au 0.266 0.447 0.063
14 Au 0.447 0.266 0.563
15 Au 0.447 0.884 0.180
16 Au 0.553 0.116 0.820
17 Au 0.553 0.734 0.437
18 Au 0.734 0.553 0.937
19 Au 0.734 0.797 0.180
20 Au 0.797 0.116 0.063
21 Au 0.797 0.734 0.680
22 Au 0.875 0.125 0.750
23 Au 0.884 0.203 0.437
24 Au 0.884 0.447 0.680

---

No. 2
Computed, not measured: LaAlAu after structural relaxation at the GGA-PBE level of DFT.

Summary:
V   27.02 A^3/atom
Mass density   7.43 Mg/m³
E_form   -0.5286 eV per atom
Symmetry   No. 216

a = 4.858 Å, b = 4.858 Å, c = 4.858 Å
α = 60.00°, β = 60.00°, γ = 60.00°
Atoms (fractional coordinates):
1 La 0.000 0.000 0.000
2 Al 0.500 0.500 0.500
3 Au 0.750 0.750 0.750

---

No. 3
Computed, not measured: LaAl2Au after structural relaxation at the GGA-PBE level of DFT.

Summary:
V   22.54 A^3/atom
Mass density   7.18 Mg/m³
E_form   -0.2821 eV per atom
Symmetry   No. 71

a = 6.031 Å, b = 6.031 Å, c = 6.031 Å
α = 149.80°, β = 124.37°, γ = 64.61°
Atoms (fractional coordinates):
1 La 0.000 0.000 0.000
2 Al 0.284 0.784 0.500
3 Al 0.716 0.216 0.500
4 Au 0.500 0.500 0.000

---

No. 4
Computed, not measured: La3AlAu3 after structural relaxation at the GGA-PBE level of DFT.

Summary:
V   26.25 A^3/atom
Mass density   9.35 Mg/m³
E_form   -0.7535 eV per atom
Symmetry   No. 12

a = 6.101 Å, b = 6.101 Å, c = 15.693 Å
α = 108.71°, β = 108.71°, γ = 42.06°
Atoms (fractional coordinates):
1 La 0.021 0.021 0.386
2 La 0.097 0.097 0.919
3 La 0.245 0.245 0.234
4 La 0.755 0.755 0.766
5 La 0.903 0.903 0.081
6 La 0.979 0.979 0.614
7 Al 0.262 0.262 0.595
8 Al 0.738 0.738 0.405
9 Au 0.360 0.360 0.456
10 Au 0.375 0.375 0.922
11 Au 0.466 0.466 0.761
12 Au 0.534 0.534 0.239
13 Au 0.625 0.625 0.078
14 Au 0.640 0.640 0.544

---

No. 5
Computed, not measured: La2Al2Au after structural relaxation at the GGA-PBE level of DFT.

Summary:
V   24.57 A^3/atom
Mass density   7.15 Mg/m³
Excess energy over the best structure of this formula in the dataset   58.4 meV/atom
E_form   -0.5234 eV per atom
Symmetry   No. 127

a = 6.963 Å, b = 6.963 Å, c = 5.067 Å
α = 90.00°, β = 90.00°, γ = 90.00°
Atoms (fractional coordinates):
1 La 0.168 0.332 0.000
2 La 0.332 0.832 0.000
3 La 0.668 0.168 0.000
4 La 0.832 0.668 0.000
5 Al 0.138 0.638 0.500
6 Al 0.362 0.138 0.500
7 Al 0.638 0.862 0.500
8 Al 0.862 0.362 0.500
9 Au 0.000 0.000 0.500
10 Au 0.500 0.500 0.500

---

No. 6
Computed, not measured: LaAl2Au5 after structural relaxation at the GGA-PBE level of DFT.

Summary:
V   20.40 A^3/atom
Mass density   11.98 Mg/m³
E_form   -0.5413 eV per atom
Symmetry   No. 71

a = 6.809 Å, b = 6.809 Å, c = 6.809 Å
α = 144.05°, β = 115.92°, γ = 75.72°
Atoms (fractional coordinates):
1 La 0.000 0.000 0.000
2 Al 0.260 0.760 0.500
3 Al 0.740 0.240 0.500
4 Au 0.157 0.361 0.796
5 Au 0.435 0.639 0.796
6 Au 0.500 0.000 0.500
7 Au 0.565 0.361 0.204
8 Au 0.843 0.639 0.204

---

No. 7
Computed, not measured: LaAl2Au6 after structural relaxation at the GGA-PBE level of DFT.

Summary:
V   23.29 A^3/atom
Mass density   10.89 Mg/m³
E_form   -0.2419 eV per atom
Symmetry   No. 227

a = 8.401 Å, b = 8.401 Å, c = 8.401 Å
α = 60.00°, β = 60.00°, γ = 60.00°
Atoms (fractional coordinates):
1 La 0.125 0.125 0.125
2 La 0.875 0.875 0.875
3 Al 0.000 0.500 0.500
4 Al 0.500 0.000 0.500
5 Al 0.500 0.500 0.000
6 Al 0.500 0.500 0.500
7 Au 0.131 0.131 0.619
8 Au 0.131 0.619 0.131
9 Au 0.131 0.619 0.619
10 Au 0.381 0.381 0.869
11 Au 0.381 0.869 0.381
12 Au 0.381 0.869 0.869
13 Au 0.619 0.131 0.131
14 Au 0.619 0.131 0.619
15 Au 0.619 0.619 0.131
16 Au 0.869 0.381 0.381
17 Au 0.869 0.381 0.869
18 Au 0.869 0.869 0.381

---

No. 8
Computed, not measured: La2Al6Au3 after structural relaxation at the GGA-PBE level of DFT.

Summary:
V   21.31 A^3/atom
Mass density   7.30 Mg/m³
E_form   -0.6209 eV per atom
Symmetry   No. 189

a = 7.995 Å, b = 7.995 Å, c = 4.235 Å
α = 90.00°, β = 90.00°, γ = 120.00°
Atoms (fractional coordinates):
1 La 0.333 0.667 0.000
2 La 0.667 0.333 0.000
3 Al 0.000 0.303 0.500
4 Al 0.000 0.811 0.000
5 Al 0.189 0.189 0.000
6 Al 0.303 0.000 0.500
7 Al 0.697 0.697 0.500
8 Al 0.811 0.000 0.000
9 Au 0.000 0.632 0.500
10 Au 0.368 0.368 0.500
11 Au 0.632 0.000 0.500

---

No. 9
Computed, not measured: LaAlAu after structural relaxation at the GGA-PBE level of DFT.

Summary:
V   29.50 A^3/atom
Mass density   6.81 Mg/m³
E_form   -0.0075 eV per atom
Symmetry   No. 216

a = 5.002 Å, b = 5.002 Å, c = 5.002 Å
α = 60.00°, β = 60.00°, γ = 60.00°
Atoms (fractional coordinates):
1 La 0.000 0.000 0.000
2 Al 0.750 0.750 0.750
3 Au 0.250 0.250 0.250

---

No. 10
Computed, not measured: La8Al2Au after structural relaxation at the GGA-PBE level of DFT.

Summary:
V   31.63 A^3/atom
Mass density   6.50 Mg/m³
E_form   -0.2773 eV per atom
Symmetry   No. 12

a = 10.007 Å, b = 10.007 Å, c = 7.027 Å
α = 104.29°, β = 104.29°, γ = 30.76°
Atoms (fractional coordinates):
1 La 0.016 0.016 0.275
2 La 0.209 0.209 0.788
3 La 0.341 0.341 0.537
4 La 0.406 0.406 0.041
5 La 0.594 0.594 0.959
6 La 0.659 0.659 0.463
7 La 0.791 0.791 0.212
8 La 0.984 0.984 0.725
9 Al 0.181 0.181 0.224
10 Al 0.819 0.819 0.776
11 Au 0.500 0.500 0.500